# 1
Compound: V2SnC
Source: Alexandria
Functional: PBE-GGA
Structure: relaxed

As for the density of states at the Fermi level: 21.470 states/eV per cell. As for the total moment: 0.0 Bohr magnetons per cell. As for the volume: 13.86 Å³/atom. The value obtained for the formation energy is 1154 meV per atom.

It has space group Fm-3m (No. 225), with a = 6.053 Å, b = 6.053 Å, c = 6.053 Å, α = 90.00°, β = 90.00° and γ = 90.00°. The inequivalent atoms are V at (0.250, 0.250, 0.250), Sn at (0.000, 0.000, 0.000) and C at (0.000, 0.000, 0.500).

# 2
Compound: V8SnC2
Source: Alexandria
Functional: PBE-GGA
Structure: relaxed

As for the density of states at the Fermi level: 18.781 states/eV per cell. As for the total moment: 0.0 Bohr magnetons per cell. As for the volume: 12.70 Å³/atom. The value obtained for the formation energy is 29 meV per atom.

It has space group Immm (No. 71), with a = 4.412 Å, b = 4.883 Å, c = 12.964 Å, α = 90.00°, β = 90.00° and γ = 90.00°. The inequivalent atoms are V at (0.000, 0.000, 0.116), V at (0.000, 0.249, 0.401), V at (0.000, 0.500, 0.228), Sn at (0.000, 0.500, 0.000) and C at (0.000, 0.000, 0.269).

# 3
Compound: V6Sn2C
Source: Alexandria
Functional: PBE-GGA
Structure: relaxed

As for the density of states at the Fermi level: 7.123 states/eV per cell. As for the total moment: 0.0 Bohr magnetons per cell. As for the volume: 14.45 Å³/atom. The value obtained for the formation energy is -139 meV per atom.

It has space group P-62m (No. 189), with a = 6.9847 Å, b = 6.9847 Å, c = 3.0774 Å, α = 90.00°, β = 90.00° and γ = 120.00°. The inequivalent atoms are V at (0.0000, 0.2234, 0.0000), V at (0.0000, 0.6684, 0.5000), Sn at (0.3333, 0.6667, 0.0000) and C at (0.0000, 0.0000, 0.5000).

Which value of total moment does entry 2 give? 0.0 Bohr magnetons per cell

Which value of total moment does entry 3 give? 0.0 Bohr magnetons per cell

Number 2 is which compound? V8SnC2

Repeat the first record exactly.
Compound: V2SnC
Source: Alexandria
Functional: PBE-GGA
Structure: relaxed

As for the density of states at the Fermi level: 21.470 states/eV per cell. As for the total moment: 0.0 Bohr magnetons per cell. As for the volume: 13.86 Å³/atom. The value obtained for the formation energy is 1154 meV per atom.

It has space group Fm-3m (No. 225), with a = 6.053 Å, b = 6.053 Å, c = 6.053 Å, α = 90.00°, β = 90.00° and γ = 90.00°. The inequivalent atoms are V at (0.250, 0.250, 0.250), Sn at (0.000, 0.000, 0.000) and C at (0.000, 0.000, 0.500).